Entry from the Alexandria database: a relaxed Ac8Ga3NiI4 crystal (PBE-GGA).

a = 16.047 Å, b = 9.233 Å, c = 9.755 Å
α = 90.00°, β = 123.35°, γ = 90.00°
Space group C2/m (No. 12)
Symmetry-distinct sites (fractional):
Ac 0.015 0.239 0.304 x8
Ac 0.226 0.000 0.698 x4
Ac 0.238 0.500 0.714 x4
Ga 0.000 0.500 0.500 x2
Ga 0.250 0.250 0.500 x4
Ni 0.000 0.000 0.500 x2
I 0.000 0.000 0.000 x2
I 0.000 0.500 0.000 x2
I 0.250 0.250 0.000 x4

Summary:
Raw formation energy   -0.716 eV/atom
DOS at the Fermi energy   1.06 states/eV/atom
Crystal system   monoclinic
Volume   1207.3 Å³ per cell